# 1
## Sr5Mg4 (PBE-GGA)

Data for an optimized crystal structure of Sr5Mg4.

abc: 6.823 6.823 11.850
angles: 109.89 109.89 46.72
Element x y z (fractional)
Sr  0.000  0.000  0.000
Sr  0.103  0.103  0.392
Sr  0.251  0.251  0.824
Sr  0.749  0.749  0.176
Sr  0.897  0.897  0.608
Mg  0.391  0.391  0.388
Mg  0.442  0.442  0.158
Mg  0.558  0.558  0.842
Mg  0.609  0.609  0.612

E	-14.78	eV per cell
energy relative to the elements	0.00	eV/atom
space group	No. 12
relative energy among the computed polymorphs	0	meV per atom



# 2
## Mn2ReWN (PBE-GGA)

Data for an optimized crystal structure of Mn2ReWN.

abc: 3.819 3.819 4.057
angles: 90.00 90.00 90.00
Element x y z (fractional)
Mn  0.000  0.500  0.000
Mn  0.500  0.000  0.000
Re  0.000  0.000  0.500
W  0.500  0.500  0.500
N  0.500  0.500  0.000

E	-52.25	eV per cell
E_form (uncorrected)	-35.9	meV per atom
space group	No. 123
relative energy among the computed polymorphs	0	meV per atom



# 3
## SrLa2YH (PBE-GGA)

Data for an optimized crystal structure of SrLa2YH.

abc: 5.316 5.316 5.364
angles: 90.00 90.00 90.00
Element x y z (fractional)
Sr  0.000  0.000  0.000
La  0.000  0.500  0.500
La  0.500  0.000  0.500
Y  0.500  0.500  0.000
H  0.000  0.000  0.500

E	-21.68	eV per cell
space group	No. 123
relative energy among the computed polymorphs	0	meV per atom



# 4
## Cu3WS4 (PBE-GGA)

Data for an optimized crystal structure of Cu3WS4.

abc: 7.456 6.465 6.225
angles: 90.00 90.00 90.00
Element x y z (fractional)
Cu  0.000  0.153  0.000
Cu  0.249  0.334  0.498
Cu  0.251  0.666  0.998
Cu  0.500  0.847  0.500
Cu  0.749  0.666  0.998
Cu  0.751  0.334  0.498
W  0.000  0.832  0.512
W  0.500  0.168  0.012
S  0.000  0.164  0.630
S  0.000  0.823  0.146
S  0.248  0.332  0.129
S  0.252  0.668  0.629
S  0.500  0.177  0.646
S  0.500  0.836  0.130
S  0.748  0.668  0.629
S  0.752  0.332  0.129

E	-88.02	eV per cell
E_form (uncorrected)	-282.6	meV per atom
space group	No. 31



# 5
## TlCrPb2 (PBE-GGA)

Data for an optimized crystal structure of TlCrPb2.

abc: 5.594 5.594 3.556
angles: 90.00 90.00 104.29
Element x y z (fractional)
Tl  0.000  0.000  0.000
Cr  0.500  0.500  0.000
Pb  0.000  0.500  0.500
Pb  0.500  0.000  0.500

E	-17.79	eV per cell
energy relative to the elements	0.40	eV/atom
space group	No. 65
relative energy among the computed polymorphs	113	meV per atom



# 6
## Ac3La4TiN8 (PBE-GGA)

Data for an optimized crystal structure of Ac3La4TiN8.

abc: 7.491 7.491 7.385
angles: 119.47 119.47 59.48
Element x y z (fractional)
Ac  0.000  0.000  0.000
Ac  0.000  0.500  0.000
Ac  0.500  0.000  0.000
La  0.000  0.000  0.500
La  0.000  0.500  0.500
La  0.500  0.000  0.500
La  0.500  0.500  0.500
Ti  0.500  0.500  0.000
N  0.225  0.225  0.718
N  0.254  0.254  0.263
N  0.290  0.706  0.785
N  0.294  0.710  0.215
N  0.706  0.290  0.785
N  0.710  0.294  0.215
N  0.746  0.746  0.737
N  0.775  0.775  0.282

E	-124.24	eV per cell
E_form (uncorrected)	-1106.6	meV per atom
space group	No. 12



# 7
## Ce4HgBi12 (PBE-GGA)

Data for an optimized crystal structure of Ce4HgBi12.

abc: 8.876 8.876 8.876
angles: 109.47 109.47 109.47
Element x y z (fractional)
Ce  0.000  0.000  0.500
Ce  0.000  0.500  0.000
Ce  0.500  0.000  0.000
Ce  0.500  0.500  0.500
Hg  0.000  0.000  0.000
Bi  0.000  0.284  0.284
Bi  0.000  0.716  0.716
Bi  0.250  0.500  0.750
Bi  0.250  0.750  0.500
Bi  0.284  0.000  0.284
Bi  0.284  0.284  0.000
Bi  0.500  0.250  0.750
Bi  0.500  0.750  0.250
Bi  0.716  0.000  0.716
Bi  0.716  0.716  0.000
Bi  0.750  0.250  0.500
Bi  0.750  0.500  0.250

E	-75.35	eV per cell
energy relative to the elements	-0.28	eV/atom
space group	No. 229



# 8
## Ca2TbPm (PBE-GGA)

Data for an optimized crystal structure of Ca2TbPm.

abc: 4.167 4.167 8.350
angles: 90.00 90.00 90.00
Element x y z (fractional)
Ca  0.000  0.000  0.246
Ca  0.000  0.000  0.754
Tb  0.500  0.500  0.000
Pm  0.500  0.500  0.500

E	-12.76	eV per cell
energy relative to the elements	0.16	eV/atom
space group	No. 123
relative energy among the computed polymorphs	109	meV per atom



# 9
## SrEuAlCd (PBE-GGA)

Data for an optimized crystal structure of SrEuAlCd.

abc: 5.570 5.570 5.570
angles: 60.00 60.00 60.00
Element x y z (fractional)
Sr  0.000  0.000  0.000
Eu  0.500  0.500  0.500
Al  0.750  0.750  0.750
Cd  0.250  0.250  0.250

E	-17.57	eV per cell
energy relative to the elements	-0.24	eV/atom
space group	No. 216



# 10
## CuPb2SeI (PBE-GGA)

Data for an optimized crystal structure of CuPb2SeI.

abc: 5.621 5.621 4.648
angles: 90.00 90.00 90.00
Element x y z (fractional)
Cu  0.000  0.000  0.000
Pb  0.000  0.500  0.000
Pb  0.500  0.000  0.000
Se  0.000  0.000  0.500
I  0.500  0.500  0.500

E	-16.61	eV per cell
E_form (uncorrected)	-13.4	meV per atom
space group	No. 123



# 11
## ReBMo2I (PBE-GGA)

Data for an optimized crystal structure of ReBMo2I.

abc: 4.383 4.383 4.171
angles: 90.00 90.00 90.00
Element x y z (fractional)
Re  0.000  0.000  0.000
B  0.000  0.000  0.500
Mo  0.000  0.500  0.500
Mo  0.500  0.000  0.500
I  0.500  0.500  0.000

E	-37.65	eV per cell
E_form (uncorrected)	936.8	meV per atom
space group	No. 123



# 12
## Ir5Au4 (PBE-GGA)

Data for an optimized crystal structure of Ir5Au4.

abc: 6.327 6.327 6.327
angles: 95.83 95.83 142.82
Element x y z (fractional)
Ir  0.000  0.000  0.000
Ir  0.343  0.343  0.687
Ir  0.343  0.657  0.000
Ir  0.657  0.343  0.000
Ir  0.657  0.657  0.313
Au  0.000  0.329  0.329
Au  0.000  0.671  0.671
Au  0.329  0.000  0.329
Au  0.671  0.000  0.671

E	-53.75	eV per cell
energy relative to the elements	0.41	eV/atom
space group	No. 139



# 13
## Nd7Dy2Y3 (PBE-GGA)

Data for an optimized crystal structure of Nd7Dy2Y3.

abc: 5.907 3.644 19.097
angles: 90.00 93.72 90.00
Element x y z (fractional)
Nd  0.000  0.000  0.000
Nd  0.179  0.500  0.183
Nd  0.258  0.500  0.535
Nd  0.323  0.000  0.854
Nd  0.677  0.000  0.146
Nd  0.742  0.500  0.465
Nd  0.821  0.500  0.817
Dy  0.292  0.500  0.702
Dy  0.708  0.500  0.298
Y  0.219  0.000  0.367
Y  0.500  0.500  0.000
Y  0.781  0.000  0.633

E	-60.95	eV per cell
energy relative to the elements	0.08	eV/atom
space group	No. 10
relative energy among the computed polymorphs	0	meV per atom



# 14
## GaNi2H (PBE-GGA)

Data for an optimized crystal structure of GaNi2H.

abc: 3.894 3.894 3.894
angles: 60.00 60.00 60.00
Element x y z (fractional)
Ga  0.000  0.000  0.000
Ni  0.250  0.250  0.250
Ni  0.750  0.750  0.750
H  0.500  0.500  0.500

E	-16.96	eV per cell
space group	No. 225
relative energy among the computed polymorphs	426	meV per atom



# 15
## KCu3 (PBE-GGA)

Data for an optimized crystal structure of KCu3.

abc: 4.203 7.045 6.077
angles: 90.00 90.00 90.00
Element x y z (fractional)
K  0.250  0.250  0.084
K  0.750  0.750  0.916
Cu  0.250  0.074  0.563
Cu  0.250  0.426  0.563
Cu  0.250  0.750  0.412
Cu  0.750  0.250  0.588
Cu  0.750  0.574  0.437
Cu  0.750  0.926  0.437

E	-25.33	eV per cell
energy relative to the elements	0.18	eV/atom
space group	No. 59
relative energy among the computed polymorphs	0	meV per atom



# 16
## Rb3BeSb (PBE-GGA)

Data for an optimized crystal structure of Rb3BeSb.

abc: 7.128 7.128 7.128
angles: 90.00 90.00 90.00
Element x y z (fractional)
Rb  0.000  0.000  0.500
Rb  0.000  0.500  0.000
Rb  0.500  0.000  0.000
Be  0.500  0.500  0.500
Sb  0.000  0.000  0.000

E	-8.31	eV per cell
E_form (uncorrected)	489.1	meV per atom
space group	No. 221
relative energy among the computed polymorphs	0	meV per atom



# 17
## SrSi2Ag2 (PBE-GGA)

Data for an optimized crystal structure of SrSi2Ag2.

abc: 6.134 6.134 6.134
angles: 137.84 137.84 61.14
Element x y z (fractional)
Sr  0.000  0.000  0.000
Si  0.389  0.389  0.000
Si  0.611  0.611  0.000
Ag  0.250  0.750  0.500
Ag  0.750  0.250  0.500

E	-19.68	eV per cell
E_form (uncorrected)	-289.2	meV per atom
space group	No. 139
relative energy among the computed polymorphs	0	meV per atom



# 18
## Tb2PrAl (PBE-GGA)

Data for an optimized crystal structure of Tb2PrAl.

abc: 11.721 11.721 11.721
angles: 17.19 17.19 17.19
Element x y z (fractional)
Tb  0.101  0.101  0.101
Tb  0.899  0.899  0.899
Pr  0.000  0.000  0.000
Al  0.500  0.500  0.500

E	-17.49	eV per cell
energy relative to the elements	0.07	eV/atom
space group	No. 166
relative energy among the computed polymorphs	262	meV per atom



# 19
## CoPCCl2 (PBE-GGA)

Data for an optimized crystal structure of CoPCCl2.

abc: 4.655 4.655 4.261
angles: 90.00 90.00 90.00
Element x y z (fractional)
Co  0.000  0.000  0.000
P  0.000  0.000  0.500
C  0.500  0.500  0.500
Cl  0.000  0.500  0.000
Cl  0.500  0.000  0.000

E	-17.93	eV per cell
E_form (uncorrected)	1499.7	meV per atom
space group	No. 123
relative energy among the computed polymorphs	18	meV per atom



# 20
## Pu2Sc2Tl3 (PBE-GGA)

Data for an optimized crystal structure of Pu2Sc2Tl3.

abc: 11.693 11.693 3.255
angles: 90.00 90.00 157.05
Element x y z (fractional)
Pu  0.210  0.790  0.000
Pu  0.790  0.210  0.000
Sc  0.070  0.930  0.000
Sc  0.930  0.070  0.000
Tl  0.359  0.641  0.500
Tl  0.500  0.500  0.500
Tl  0.641  0.359  0.500

E	-48.80	eV per cell
energy relative to the elements	-0.05	eV/atom
space group	No. 65